Record 1
## NaPr2NdS4 (GGA-PBE)

Data for a relaxed NaPr2NdS4 crystal.

## Properties
ΔE_f (raw): -1.9066 eV per atom
space group: P2/m, No. 10
DFT total energy: -5.93 eV per atom
total moment: 0.00 μB/f.u.

Cell: 4.084 7.091 7.087 Å, 109.29 90.00 90.00°
Sites, in units of the cell vectors:
Na1 0.000 0.000 0.000
Pr1 0.500 0.000 0.500
Pr2 0.000 0.500 0.500
Nd1 0.500 0.500 0.000
S1 0.500 0.252 0.250
S2 0.500 0.748 0.750
S3 0.000 0.250 0.754
S4 0.000 0.750 0.246

=====

Record 2
## NaPr4Nd3S8 (GGA-PBE)

Data for a relaxed NaPr4Nd3S8 crystal.

## Properties
ΔE_f (raw): -1.9605 eV per atom
space group: R-3m, No. 166
DFT total energy: -6.20 eV per atom
total moment: 0.00 μB/f.u.

Cell: 8.172 8.175 8.172 Å, 119.98 120.00 90.00°
Sites, in units of the cell vectors:
Na1 0.000 0.500 0.000
Pr1 0.500 0.000 0.000
Pr2 0.500 0.000 0.500
Pr3 0.000 0.000 0.000
Pr4 0.000 0.000 0.500
Nd1 0.500 0.500 0.000
Nd2 0.500 0.500 0.500
Nd3 0.000 0.500 0.500
S1 0.247 0.745 0.998
S2 0.247 0.745 0.495
S3 0.251 0.253 0.502
S4 0.750 0.745 0.998
S5 0.250 0.255 0.002
S6 0.749 0.747 0.498
S7 0.753 0.255 0.505
S8 0.753 0.255 0.002

=====

Record 3
## NaPr3Nd4S8 (GGA-PBE)

Data for a relaxed NaPr3Nd4S8 crystal.

## Properties
ΔE_f (raw): -1.9619 eV per atom
space group: R-3m, No. 166
DFT total energy: -6.20 eV per atom
total moment: 0.00 μB/f.u.

Cell: 8.167 8.168 8.168 Å, 120.00 120.00 90.00°
Sites, in units of the cell vectors:
Na1 0.000 0.500 0.000
Pr1 0.500 0.500 0.000
Pr2 0.500 0.500 0.500
Pr3 0.000 0.500 0.500
Nd1 0.500 0.000 0.000
Nd2 0.500 0.000 0.500
Nd3 0.000 0.000 0.000
Nd4 0.000 0.000 0.500
S1 0.249 0.751 0.002
S2 0.249 0.751 0.498
S3 0.249 0.247 0.498
S4 0.753 0.751 0.002
S5 0.247 0.249 0.998
S6 0.751 0.753 0.502
S7 0.751 0.249 0.502
S8 0.751 0.249 0.998

=====

Record 4
## NaPr2Nd3S6 (GGA-PBE)

Data for a relaxed NaPr2Nd3S6 crystal.

## Properties
ΔE_f (raw): -1.9508 eV per atom
space group: C2/m, No. 12
DFT total energy: -6.11 eV per atom
total moment: 0.00 μB/f.u.

Cell: 7.069 7.069 7.078 Å, 99.61 99.61 120.12°
Sites, in units of the cell vectors:
Na1 0.000 0.000 0.000
Pr1 0.334 0.666 0.000
Pr2 0.666 0.334 0.000
Nd1 0.164 0.836 0.500
Nd2 0.836 0.164 0.500
Nd3 0.500 0.500 0.500
S1 0.916 0.586 0.748
S2 0.754 0.754 0.248
S3 0.084 0.414 0.252
S4 0.586 0.916 0.748
S5 0.246 0.246 0.752
S6 0.414 0.084 0.252